# PuMgTl2O6

Crystalline PuMgTl2O6 at its relaxed geometry (GGA-PBE, Alexandria).

Lattice parameters (Å, degrees): 5.864 5.863 8.349 90.00 90.01 90.00
Last column: magnetic moment on the atom in μB.
Atoms (fractional coordinates):
1 Pu 0.500 0.000 0.500  1.31
2 Pu 0.000 0.500 0.000  1.31
3 Mg 0.500 0.000 0.000  0.00
4 Mg 0.000 0.500 0.500  0.00
5 Tl 0.000 0.000 0.250  -0.03
6 Tl 0.500 0.500 0.750  -0.03
7 Tl 0.000 0.000 0.750  -0.03
8 Tl 0.500 0.500 0.250  -0.03
9 O 0.243 0.742 0.001  -0.08
10 O 0.743 0.758 0.501  -0.08
11 O 0.757 0.258 0.999  -0.08
12 O 0.257 0.242 0.499  -0.08
13 O 0.258 0.757 0.499  -0.08
14 O 0.758 0.743 0.999  -0.08
15 O 0.742 0.243 0.501  -0.08
16 O 0.242 0.257 0.001  -0.08
17 O 0.999 0.500 0.244  -0.08
18 O 0.499 0.000 0.744  -0.08
19 O 0.001 0.500 0.756  -0.08
20 O 0.501 0.000 0.256  -0.08

Output
Raw formation energy (eV/atom): -1.746
Calculated volume (Å³/atom): 14.352